The following is a DFT calculation (meta-GGA SCAN) of a crystal of ZrAl2Fe relaxed with PBEsol.

Results
Space group: P4mm (99)
Energy relative to the elements, eV per formula unit: -1.15

abc: 3.0241 3.0241 6.6100
angles: 90.00 90.00 90.00
Element x y z (fractional)
Al: 0.0000 0.0000 0.0274
Al: 0.5000 0.5000 0.2861
Zr: 0.5000 0.5000 0.7205
Fe: 0.0000 0.0000 0.4660

The following is a DFT calculation (meta-GGA SCAN) of a crystal of ZrAl3Fe relaxed with PBEsol.

Results
Space group: Pm-3m (221)
Energy relative to the elements, eV per formula unit: -0.32

abc: 4.3752 4.3752 4.3752
angles: 90.00 90.00 90.00
Site moments in Bohr magnetons follow the coordinates.
Element x y z (fractional)
Al: 0.5000 0.0000 0.0000  -0.03
Al: 0.0000 0.0000 0.5000  -0.03
Al: 0.0000 0.5000 0.0000  -0.03
Zr: 0.5000 0.5000 0.5000  0.40
Fe: 0.0000 0.0000 0.0000  1.27

The following is a DFT calculation (meta-GGA SCAN) of a crystal of ZrAl2Fe relaxed with PBEsol.

Results
Space group: P4/mmm (123)
Energy relative to the elements, eV per formula unit: -1.48

abc: 2.9370 2.9370 6.9155
angles: 90.00 90.00 90.00
Site moments in Bohr magnetons follow the coordinates.
Element x y z (fractional)
Zr: 0.5000 0.5000 0.5000  0.08
Al: 0.0000 0.0000 0.1920  0.00
Fe: 0.5000 0.5000 0.0000  0.07
Al: 0.0000 0.0000 0.8080  0.00

The following is a DFT calculation (meta-GGA SCAN) of a crystal of Zr3AlFe8 relaxed with PBEsol.

Results
Space group: R3m (160)
Energy relative to the elements, eV per formula unit: -3.13

abc: 4.8255 4.8255 8.3581
angles: 73.22 73.22 60.00
Site moments in Bohr magnetons follow the coordinates.
Element x y z (fractional)
Fe: 0.9377 0.9377 0.6837  2.14
Zr: 0.9964 0.9964 0.0108  -0.56
Fe: 0.4410 0.9377 0.6837  2.14
Al: 0.8738 0.8738 0.3788  -0.06
Zr: 0.3758 0.3758 0.8726  -0.59
Fe: 0.1878 0.1878 0.4365  2.02
Fe: 0.6876 0.6876 0.9373  2.20
Fe: 0.4364 0.4364 0.1905  2.05
Fe: 0.9377 0.4410 0.6837  2.14
Fe: 0.9368 0.4364 0.1905  2.05
Zr: 0.5028 0.5028 0.4915  -0.60
Fe: 0.4364 0.9368 0.1905  2.05

The following is a DFT calculation (meta-GGA SCAN) of a crystal of ZrAl2Fe relaxed with PBEsol.

Results
Space group: Pm (6)
Energy relative to the elements, eV per formula unit: -0.80

abc: 2.8429 4.2567 5.2382
angles: 90.00 97.72 90.00
Site moments in Bohr magnetons follow the coordinates.
Element x y z (fractional)
Zr: 0.3010 0.5000 0.7577  -0.20
Al: 0.8793 0.0000 0.0031  -0.02
Fe: 0.4980 0.0000 0.4620  2.49
Al: 0.8218 0.5000 0.2772  -0.03

The following is a DFT calculation (meta-GGA SCAN) of a crystal of Zr6Al2Fe relaxed with PBEsol.

Results
Space group: P-62m (189)
Energy relative to the elements, eV per formula unit: -2.60

abc: 3.2695 7.8564 7.8564
angles: 120.00 90.00 90.00
Site moments in Bohr magnetons follow the coordinates.
Element x y z (fractional)
Zr: 0.0000 0.6028 0.0000  -0.03
Zr: 0.0000 0.3972 0.3972  -0.03
Zr: 0.5000 0.7507 0.7507  -0.10
Fe: 0.0000 0.0000 0.0000  0.67
Al: 0.5000 0.3333 0.6667  -0.01
Zr: 0.5000 0.2493 0.0000  -0.10
Zr: 0.0000 0.0000 0.6028  -0.03
Zr: 0.5000 0.0000 0.2493  -0.10
Al: 0.5000 0.6667 0.3333  -0.01

The following is a DFT calculation (meta-GGA SCAN) of a crystal of Zr2Al6Fe relaxed with PBEsol.

Results
Space group: P-62m (189)
Energy relative to the elements, eV per formula unit: -0.54

abc: 2.9541 7.7322 7.7322
angles: 120.00 90.00 90.00
Element x y z (fractional)
Al: 0.5000 0.0000 0.2468
Al: 0.5000 0.7532 0.7532
Zr: 0.5000 0.6667 0.3333
Al: 0.0000 0.6602 0.0000
Al: 0.0000 0.3398 0.3398
Al: 0.5000 0.2468 0.0000
Al: 0.0000 0.0000 0.6602
Fe: 0.0000 0.0000 0.0000
Zr: 0.5000 0.3333 0.6667

The following is a DFT calculation (meta-GGA SCAN) of a crystal of ZrAl2Fe2 relaxed with PBEsol.

Results
Space group: I4/mmm (139)
Energy relative to the elements, eV per formula unit: -1.29

abc: 3.6452 3.6452 6.2110
angles: 107.06 107.06 90.00
Site moments in Bohr magnetons follow the coordinates.
Element x y z (fractional)
Al: 0.3896 0.3896 0.7793  -0.06
Zr: 0.0000 0.0000 0.0000  -0.01
Fe: 0.7500 0.2500 0.5000  2.46
Al: 0.6104 0.6104 0.2207  -0.06
Fe: 0.2500 0.7500 0.5000  2.46

The following is a DFT calculation (meta-GGA SCAN) of a crystal of Zr2AlFe relaxed with PBEsol.

Results
Space group: Imm2 (44)
Energy relative to the elements, eV per formula unit: -0.94

abc: 3.1229 4.5718 5.5413
angles: 114.34 106.37 90.00
Site moments in Bohr magnetons follow the coordinates.
Element x y z (fractional)
Al: 0.5426 0.5426 0.0852  0.00
Fe: 0.2473 0.7470 0.4946  1.35
Zr: 0.7472 0.2473 0.4944  -0.28
Zr: 0.9629 0.9630 0.9258  -0.19

The following is a DFT calculation (meta-GGA SCAN) of a crystal of Zr2AlFe3 relaxed with PBEsol.

Results
Space group: R-3m (166)
Energy relative to the elements, eV per formula unit: -2.16

abc: 4.9425 4.9425 4.9638
angles: 60.14 60.14 60.00
Site moments in Bohr magnetons follow the coordinates.
Element x y z (fractional)
Al: 0.5000 0.5000 0.5000  -0.05
Fe: 0.5000 0.5000 0.0000  1.94
Fe: 0.0000 0.5000 0.0000  1.94
Fe: 0.5000 0.0000 0.0000  1.94
Zr: 0.1211 0.1211 0.6367  -0.52
Zr: 0.8789 0.8789 0.3633  -0.52

The following is a DFT calculation (meta-GGA SCAN) of a crystal of Zr2AlFe relaxed with PBEsol.

Results
Space group: P4/mmm (123)
Energy relative to the elements, eV per formula unit: -1.30

abc: 3.2127 3.2126 6.6736
angles: 90.00 90.06 90.00
Site moments in Bohr magnetons follow the coordinates.
Element x y z (fractional)
Al: 0.5000 0.5000 0.0000  0.01
Zr: 0.0005 0.0000 0.2741  -0.28
Fe: 0.5000 0.5000 0.5000  1.66
Zr: 0.9995 0.0000 0.7259  -0.28

The following is a DFT calculation (meta-GGA SCAN) of a crystal of GdAlGa relaxed with PBEsol.

Results
Space group: P-6m2 (187)
Energy relative to the elements, eV per formula unit: -1.83

abc: 3.5486 4.4323 4.4323
angles: 120.00 90.00 90.00
Site moments in Bohr magnetons follow the coordinates.
Element x y z (fractional)
Ga: 0.5000 0.6667 0.3333  -0.04
Al: 0.5000 0.0000 0.0000  -0.02
Gd: 0.0000 0.3333 0.6667  7.19